VASP calculation (PBE) on TbTmCdRu after structural relaxation.

Unit cell a=5.009 b=5.009 c=5.009 alpha=60.00 beta=60.00 gamma=60.00
Positions (direct):
Cd 0.250 0.250 0.250
Ru 0.750 0.750 0.750
Tb 0.000 0.000 0.000
Tm 0.500 0.500 0.500

Its density of states at the Fermi level is 3.79 states/eV/f.u. The excess energy over the best structure of this formula in the dataset is 120 meV per atom. The theoretical density comes out at 10.12 g cm⁻³. As for the space-group type: F-43m.